Below is an optimized crystal structure of MgTeBr2, with properties calculated at the GGA-PBE level.

Summary:
DOS(E_F): 0.565 states/eV per cell
Total energy: -19.50 eV for the cell shown
Calculated density: 2.8 Mg/m³
Energy relative to the lowest polymorph listed for this composition: 423.2 meV/atom
Size of the total moment: 0.00 μB/atom
Formation energy without anion corrections: -417 meV per atom

abc: 3.827 9.815 9.741
angles: 90.00 90.00 90.00
Space group Cmm2 (No. 35)
Symmetry-distinct sites (fractional):
Mg1 0.000 0.000 0.000
Te1 0.000 0.500 0.775
Br1 0.000 0.000 0.558
Br2 0.000 0.500 0.172